The following is a DFT calculation (PBE with a Hubbard U) of a geometry-optimized Be2MoAsF structure.

Cell and atoms, written as POSCAR:
```
Be2MoAsF
1.0
4.084 0.000 0.000
0.000 4.084 0.000
0.000 0.000 5.279
Be Mo As F
2 1 1 1
Direct
0.000 0.500 0.000
0.500 0.000 0.000
0.000 0.000 0.500
0.500 0.500 0.000
0.500 0.500 0.500
```

ρ   3.92 Mg/m³
Calculated total energy   -3.70 eV per atom
Magnetic moment   4.8 Bohr magnetons per cell